Entry from the Alexandria database: an optimized crystal structure of LiCuB2 (PBE-GGA).

- Offset from the most stable computed form: 0.000 eV/atom

Unit cell a=3.3685 b=3.3685 c=14.9183 alpha=90.00 beta=90.00 gamma=90.00
Sites, in units of the cell vectors:
Li 0.0000 0.2500 0.3750
Li 0.0000 0.7500 0.6250
Li 0.5000 0.2500 0.1250
Li 0.5000 0.7500 0.8750
Cu 0.0000 0.2500 0.8750
Cu 0.0000 0.7500 0.1250
Cu 0.5000 0.2500 0.6250
Cu 0.5000 0.7500 0.3750
B 0.0000 0.0000 0.0000
B 0.0000 0.5000 0.0000
B 0.2500 0.2500 0.7500
B 0.2500 0.7500 0.2500
B 0.5000 0.0000 0.5000
B 0.5000 0.5000 0.5000
B 0.7500 0.2500 0.7500
B 0.7500 0.7500 0.2500